1.
{
  "formula": "La2AgGeO6",
  "functional": "PBE",
  "state": "optimized geometry",
  "density_g_cm3": 6.3,
  "dft_energy_ev_per_atom": -6.833,
  "formation_energy_uncorrected_ev_per_atom": -2.1255,
  "sg": "P4mm, No. 99",
  "cell": [[-2.489, -3.887, 0.831], [2.851, -2.675, -3.975], [3.768, -1.605, 3.782]],
  "species": ["La", "La", "Ag", "Ge", "O", "O", "O", "O", "O", "O"],
  "fractional_positions": [[0.021, 0.500, 0.000], [0.021, 0.000, 0.500], [0.589, 0.500, 0.500], [0.598, 0.000, 0.000], [0.720, 0.226, 0.226], [0.720, 0.226, 0.774], [0.119, 0.500, 0.500], [0.219, 0.000, 0.000], [0.720, 0.774, 0.774], [0.720, 0.774, 0.226]]
}

***

2.
{
  "formula": "LaAgGeP2",
  "functional": "PBE",
  "state": "optimized geometry",
  "density_g_cm3": 3.7,
  "dft_energy_ev_per_atom": -3.672,
  "sg": "P4/mmm, No. 123",
  "ef_ev_per_atom": 0.971,
  "cell": [[5.447, 0.000, 0.000], [0.000, 5.758, 0.000], [0.000, 0.000, 5.447]],
  "species": ["P", "P", "Ge", "Ag", "La"],
  "fractional_positions": [[0.000, 0.000, 0.500], [0.500, 0.000, 0.000], [0.000, 0.500, 0.000], [0.500, 0.500, 0.500], [0.000, 0.000, 0.000]]
}

***

3.
{
  "formula": "LaPaAgGe",
  "functional": "PBE",
  "state": "optimized geometry",
  "density_g_cm3": 9.1,
  "dft_energy_ev_per_atom": -5.593,
  "sg": "F-43m, No. 216",
  "ef_ev_per_atom": -0.120,
  "cell": [[-1.758, -4.054, 2.775], [-2.014, -4.152, -2.435], [2.608, -4.519, -0.044]],
  "species": ["Ge", "Pa", "Ag", "La"],
  "fractional_positions": [[0.250, 0.250, 0.250], [0.500, 0.500, 0.500], [0.750, 0.750, 0.750], [0.000, 0.000, 0.000]]
}

***

4.
{
  "formula": "La2AgGe4Pd3",
  "functional": "PBE",
  "state": "optimized geometry",
  "density_g_cm3": 8.2,
  "dft_energy_ev_per_atom": -5.429,
  "sg": "P-4m2, No. 115",
  "ef_ev_per_atom": -0.754,
  "cell": [[-0.647, 1.822, 3.968], [2.963, -2.763, 1.751], [7.521, 6.848, -1.919]],
  "species": ["La", "La", "Ag", "Ge", "Ge", "Ge", "Ge", "Pd", "Pd", "Pd"],
  "fractional_positions": [[0.500, 0.000, 0.247], [0.000, 0.500, 0.753], [0.500, 0.500, 0.500], [0.500, 0.500, 0.000], [0.000, 0.000, 0.000], [0.500, 0.000, 0.638], [0.000, 0.500, 0.362], [0.000, 0.000, 0.500], [0.500, 0.000, 0.878], [0.000, 0.500, 0.122]]
}

***

5.
{
  "formula": "La3AgGe6Pd2",
  "functional": "PBE",
  "state": "optimized geometry",
  "density_g_cm3": 7.1,
  "dft_energy_ev_per_atom": -5.082,
  "sg": "P-3m1, No. 164",
  "ef_ev_per_atom": -0.438,
  "cell": [[6.128, 0.000, 0.000], [-3.064, 5.307, 0.000], [0.000, 0.000, 8.417]],
  "species": ["La", "La", "La", "Ag", "Ge", "Ge", "Ge", "Ge", "Ge", "Ge", "Pd", "Pd"],
  "fractional_positions": [[0.333, 0.667, 0.628], [0.667, 0.333, 0.372], [0.000, 0.000, 0.000], [0.000, 0.000, 0.500], [0.615, 0.808, 0.279], [0.192, 0.385, 0.279], [0.192, 0.808, 0.279], [0.808, 0.615, 0.721], [0.385, 0.192, 0.721], [0.808, 0.192, 0.721], [0.667, 0.333, 0.977], [0.333, 0.667, 0.023]]
}

***

6.
{
  "formula": "La2PmAg2Ge2",
  "functional": "PBE",
  "state": "optimized geometry",
  "density_g_cm3": 7.4,
  "dft_energy_ev_per_atom": -4.679,
  "sg": "R-3m, No. 166",
  "ef_ev_per_atom": -0.458,
  "cell": [[4.603, 0.000, 0.000], [2.302, 3.987, 0.000], [2.302, 1.329, 9.529]],
  "species": ["La", "La", "Pm", "Ag", "Ag", "Ge", "Ge"],
  "fractional_positions": [[0.129, 0.129, 0.612], [0.871, 0.871, 0.388], [0.000, 0.000, 0.000], [0.603, 0.603, 0.192], [0.397, 0.397, 0.808], [0.736, 0.736, 0.791], [0.264, 0.264, 0.209]]
}

***

7.
{
  "formula": "LaPmAgGe",
  "functional": "PBE",
  "state": "optimized geometry",
  "density_g_cm3": 7.4,
  "dft_energy_ev_per_atom": -4.809,
  "sg": "F-43m, No. 216",
  "ef_ev_per_atom": -0.522,
  "cell": [[-0.709, -4.725, -2.260], [2.084, -0.995, -4.754], [4.064, -3.348, -0.456]],
  "species": ["Ge", "La", "Ag", "Pm"],
  "fractional_positions": [[0.000, 0.000, 0.000], [0.250, 0.250, 0.250], [0.500, 0.500, 0.500], [0.750, 0.750, 0.750]]
}

***

8.
{
  "formula": "La2PrAg2Ge2",
  "functional": "PBE",
  "state": "optimized geometry",
  "density_g_cm3": 7.4,
  "dft_energy_ev_per_atom": -4.686,
  "sg": "R-3m, No. 166",
  "ef_ev_per_atom": -0.461,
  "cell": [[4.612, 0.000, 0.000], [2.306, 3.994, 0.000], [2.306, 1.331, 9.533]],
  "species": ["La", "La", "Pr", "Ag", "Ag", "Ge", "Ge"],
  "fractional_positions": [[0.132, 0.132, 0.605], [0.868, 0.868, 0.395], [0.000, 0.000, 0.000], [0.599, 0.599, 0.204], [0.401, 0.401, 0.796], [0.738, 0.738, 0.786], [0.262, 0.262, 0.214]]
}

***

9.
{
  "formula": "LaPrAgGe",
  "functional": "PBE",
  "state": "optimized geometry",
  "density_g_cm3": 7.2,
  "dft_energy_ev_per_atom": -4.811,
  "sg": "F-43m, No. 216",
  "ef_ev_per_atom": -0.518,
  "cell": [[5.322, 0.000, 0.000], [2.661, 4.609, 0.000], [2.661, 1.536, 4.346]],
  "species": ["Pr", "Ge", "Ag", "La"],
  "fractional_positions": [[0.000, 0.000, 0.000], [0.250, 0.250, 0.250], [0.750, 0.750, 0.750], [0.500, 0.500, 0.500]]
}

***

10.
{
  "formula": "La2AgGe4Pt3",
  "functional": "PBE",
  "state": "optimized geometry",
  "density_g_cm3": 10.4,
  "dft_energy_ev_per_atom": -5.791,
  "sg": "P-4m2, No. 115",
  "ef_ev_per_atom": -0.862,
  "cell": [[-3.326, 2.039, 2.120], [-1.959, -3.923, 0.700], [5.049, -0.946, 8.831]],
  "species": ["La", "La", "Ag", "Ge", "Ge", "Ge", "Ge", "Pt", "Pt", "Pt"],
  "fractional_positions": [[0.500, 0.000, 0.247], [0.000, 0.500, 0.753], [0.500, 0.500, 0.500], [0.500, 0.500, 0.000], [0.000, 0.000, 0.000], [0.500, 0.000, 0.637], [0.000, 0.500, 0.363], [0.000, 0.000, 0.500], [0.500, 0.000, 0.880], [0.000, 0.500, 0.120]]
}

***

11.
{
  "formula": "LaAgGe2Pt5",
  "functional": "PBE",
  "state": "optimized geometry",
  "density_g_cm3": 13.6,
  "dft_energy_ev_per_atom": -5.773,
  "sg": "P4/mmm, No. 123",
  "ef_ev_per_atom": -0.527,
  "cell": [[-2.096, -3.650, -0.370], [3.523, -1.884, -1.377], [2.270, -2.198, 8.818]],
  "species": ["La", "Ag", "Ge", "Ge", "Pt", "Pt", "Pt", "Pt", "Pt"],
  "fractional_positions": [[0.000, 0.000, 0.500], [0.000, 0.000, 0.000], [0.500, 0.500, 0.129], [0.500, 0.500, 0.871], [0.000, 0.500, 0.266], [0.500, 0.000, 0.266], [0.000, 0.500, 0.734], [0.500, 0.000, 0.734], [0.500, 0.500, 0.500]]
}

***

12.
{
  "formula": "La2AgGe4Rh3",
  "functional": "PBE",
  "state": "optimized geometry",
  "density_g_cm3": 8.4,
  "dft_energy_ev_per_atom": -6.075,
  "sg": "P-4m2, No. 115",
  "ef_ev_per_atom": -0.752,
  "cell": [[4.372, 0.000, 0.000], [0.000, 4.372, 0.000], [0.000, 0.000, 10.221]],
  "species": ["La", "La", "Ag", "Ge", "Ge", "Ge", "Ge", "Rh", "Rh", "Rh"],
  "fractional_positions": [[0.500, 0.000, 0.239], [0.000, 0.500, 0.761], [0.500, 0.500, 0.500], [0.500, 0.500, 0.000], [0.000, 0.000, 0.000], [0.500, 0.000, 0.638], [0.000, 0.500, 0.362], [0.000, 0.000, 0.500], [0.500, 0.000, 0.878], [0.000, 0.500, 0.122]]
}